! LaY2Br | the Alexandria database | PBE | relaxed; values from VASP
! Space-group type: Fm-3m (225)
! E_form (uncorrected), kJ/mol of formula units: 48
&SYSTEM
  ibrav = 0, nat = 4, ntyp = 3
/
ATOMIC_SPECIES
La 138.91 La.upf
Y 88.91 Y.upf
Br 79.90 Br.upf
ATOMIC_POSITIONS angstrom
La 0.0000 0.0000 0.0000
Y 1.9851 1.9851 1.9851
Y 5.9552 5.9552 5.9552
Br 3.9701 3.9701 3.9701
CELL_PARAMETERS angstrom
0.0000 3.9701 3.9701
3.9701 0.0000 3.9701
3.9701 3.9701 0.0000

=====

! LaY2Br | the Alexandria database | PBE | relaxed; values from VASP
! Space-group type: I4/mmm (139)
! E_form (uncorrected), kJ/mol of formula units: -41
&SYSTEM
  ibrav = 0, nat = 4, ntyp = 3
/
ATOMIC_SPECIES
La 138.91 La.upf
Y 88.91 Y.upf
Br 79.90 Br.upf
ATOMIC_POSITIONS angstrom
La 0.0000 0.0000 0.0000
Y 2.3547 0.0000 2.8171
Y 0.0000 2.3547 2.8171
Br 0.0000 0.0000 5.6343
CELL_PARAMETERS angstrom
-2.3547 2.3547 5.6343
2.3547 -2.3547 5.6343
2.3547 2.3547 -5.6343

=====

! LaY2Br | the Alexandria database | PBE | relaxed; values from VASP
! Space-group type: Cmmm (65)
! E_form (uncorrected), kJ/mol of formula units: -66
&SYSTEM
  ibrav = 0, nat = 4, ntyp = 3
/
ATOMIC_SPECIES
La 138.91 La.upf
Y 88.91 Y.upf
Br 79.90 Br.upf
ATOMIC_POSITIONS angstrom
La 0.0000 0.0000 0.0000
Y 1.9176 2.2462 1.7957
Y 1.9176 -2.2462 1.7957
Br 3.8353 0.0000 0.0000
CELL_PARAMETERS angstrom
3.8353 -4.4924 0.0000
3.8353 4.4924 0.0000
0.0000 0.0000 3.5913

=====

! LaY2Br | the Alexandria database | PBE | relaxed; values from VASP
! Space-group type: R3m (160)
! E_form (uncorrected), kJ/mol of formula units: -214
&SYSTEM
  ibrav = 0, nat = 4, ntyp = 3
/
ATOMIC_SPECIES
La 138.91 La.upf
Y 88.91 Y.upf
Br 79.90 Br.upf
ATOMIC_POSITIONS angstrom
La 0.0000 0.0000 0.0000
Y 0.0000 0.0000 16.3458
Y 0.0000 0.0000 24.1523
Br 0.0000 0.0000 7.9836
CELL_PARAMETERS angstrom
1.8542 1.0705 10.5823
-1.8542 1.0705 10.5823
0.0000 -2.1411 10.5823

=====

! La2YBr | the Alexandria database | PBE | relaxed; values from VASP
! Space-group type: Imm2 (44)
! E_form (uncorrected), kJ/mol of formula units: -158
&SYSTEM
  ibrav = 0, nat = 4, ntyp = 3
/
ATOMIC_SPECIES
La 138.91 La.upf
Y 88.91 Y.upf
Br 79.90 Br.upf
ATOMIC_POSITIONS angstrom
La 0.0000 0.0000 0.0000
La 0.0000 2.9337 2.6006
Y 1.7905 0.0000 3.3708
Br 0.0000 0.0000 5.9266
CELL_PARAMETERS angstrom
-1.7905 2.9337 6.1611
1.7905 -2.9337 6.1611
1.7905 2.9337 -6.1611

=====

! La2YBr | the Alexandria database | PBE | relaxed; values from VASP
! Space-group type: Cmmm (65)
! E_form (uncorrected), kJ/mol of formula units: -142
&SYSTEM
  ibrav = 0, nat = 4, ntyp = 3
/
ATOMIC_SPECIES
La 138.91 La.upf
Y 88.91 Y.upf
Br 79.90 Br.upf
ATOMIC_POSITIONS angstrom
La 1.8933 2.3175 0.0000
La 1.8933 -2.3175 0.0000
Y 0.0000 0.0000 1.8055
Br 3.7866 0.0000 1.8055
CELL_PARAMETERS angstrom
3.7866 -4.6350 0.0000
3.7866 4.6350 0.0000
0.0000 0.0000 3.6111

=====

! LaY2Br | the Alexandria database | PBE | relaxed; values from VASP
! Space-group type: R-3m (166)
! E_form (uncorrected), kJ/mol of formula units: -211
&SYSTEM
  ibrav = 0, nat = 4, ntyp = 3
/
ATOMIC_SPECIES
La 138.91 La.upf
Y 88.91 Y.upf
Br 79.90 Br.upf
ATOMIC_POSITIONS angstrom
La 0.0000 0.0000 0.0000
Y 0.0000 0.0000 7.4464
Y 0.0000 0.0000 23.4222
Br 0.0000 0.0000 15.4343
CELL_PARAMETERS angstrom
1.8493 1.0677 10.2895
-1.8493 1.0677 10.2895
0.0000 -2.1354 10.2895

=====

! La2YBr | the Alexandria database | PBE | relaxed; values from VASP
! Space-group type: P4/mmm (123)
! E_form (uncorrected), kJ/mol of formula units: -194
&SYSTEM
  ibrav = 0, nat = 4, ntyp = 3
/
ATOMIC_SPECIES
La 138.91 La.upf
Y 88.91 Y.upf
Br 79.90 Br.upf
ATOMIC_POSITIONS angstrom
La 0.0000 0.0000 2.2694
La 0.0000 0.0000 7.5708
Y 1.8254 1.8254 4.9201
Br 1.8254 1.8254 0.0000
CELL_PARAMETERS angstrom
3.6508 0.0000 0.0000
0.0000 3.6508 0.0000
0.0000 0.0000 9.8402

=====

Number 1: ΔE to the lowest computed polymorph 676 meV per atom. Number 2: ΔE to the lowest computed polymorph 448 meV per atom. Number 3: ΔE to the lowest computed polymorph 382 meV per atom. Number 4: ΔE to the lowest computed polymorph 0 meV per atom. Number 5: ΔE to the lowest computed polymorph 173 meV per atom. Number 6: ΔE to the lowest computed polymorph 214 meV per atom. Number 7: ΔE to the lowest computed polymorph 7 meV per atom. Number 8: ΔE to the lowest computed polymorph 81 meV per atom.